# U2Ga10CoNi | the Alexandria database | meta-GGA SCAN | PBEsol geometry
data_U2Ga10CoNi
_chemical_formula_sum 'U2 Ga10 Co1 Ni1'
_symmetry_space_group_name_H-M 'P 1'
_symmetry_Int_Tables_number 1
_cell_length_a 4.180
_cell_length_b 4.180
_cell_length_c 13.219
_cell_angle_alpha 90.00
_cell_angle_beta 90.00
_cell_angle_gamma 90.00
loop_
_symmetry_equiv_pos_as_xyz
'x,y,z'
loop_
_atom_site_label
_atom_site_fract_x
_atom_site_fract_y
_atom_site_fract_z
Ni1 0.000 0.000 0.500
Ga1 0.000 0.500 0.599
Ga2 0.500 0.000 0.097
Ga3 0.500 0.000 0.599
Ga4 0.000 0.500 0.097
Ga5 0.500 0.000 0.401
Ga6 0.500 0.500 0.249
Ga7 0.500 0.500 0.751
Ga8 0.000 0.500 0.903
Ga9 0.500 0.000 0.903
Ga10 0.000 0.500 0.401
U1 0.000 0.000 0.248
U2 0.000 0.000 0.752
Co1 0.000 0.000 0.000
# Calculated formation energy ... -0.299 eV/atom
# DOS(E_F) ... 10.9 states/eV/f.u.